VASP calculation (PBE) on a relaxed structure of TbPuTe.

Symmetry = F-43m, No. 216
Energy above the lowest structure with this stoichiometry = 0.00 eV per formula unit
Spin magnetization = 7.45 μB/f.u.
Crystal system = cubic

a = 7.2450 Å, b = 7.2450 Å, c = 7.2450 Å
α = 90.00°, β = 90.00°, γ = 90.00°
Sites, in units of the cell vectors:
Tb (0.0000, 0.0000, 0.0000)
Tb (0.0000, 0.5000, 0.5000)
Tb (0.5000, 0.0000, 0.5000)
Tb (0.5000, 0.5000, 0.0000)
Pu (0.0000, 0.0000, 0.5000)
Pu (0.0000, 0.5000, 0.0000)
Pu (0.5000, 0.0000, 0.0000)
Pu (0.5000, 0.5000, 0.5000)
Te (0.2500, 0.2500, 0.7500)
Te (0.2500, 0.7500, 0.2500)
Te (0.7500, 0.2500, 0.2500)
Te (0.7500, 0.7500, 0.7500)

***

VASP calculation (PBE) on a relaxed structure of TbPuTh.

Symmetry = F-43m, No. 216
Energy of formation = 0.719 eV per atom
Spin magnetization = 7.08 μB/f.u.
Crystal system = cubic

a = 7.3558 Å, b = 7.3558 Å, c = 7.3558 Å
α = 90.00°, β = 90.00°, γ = 90.00°
Sites, in units of the cell vectors:
Tb (0.0000, 0.0000, 0.0000)
Tb (0.0000, 0.5000, 0.5000)
Tb (0.5000, 0.0000, 0.5000)
Tb (0.5000, 0.5000, 0.0000)
Pu (0.2500, 0.2500, 0.7500)
Pu (0.2500, 0.7500, 0.2500)
Pu (0.7500, 0.2500, 0.2500)
Pu (0.7500, 0.7500, 0.7500)
Th (0.0000, 0.0000, 0.5000)
Th (0.0000, 0.5000, 0.0000)
Th (0.5000, 0.0000, 0.0000)
Th (0.5000, 0.5000, 0.5000)

***

VASP calculation (PBE) on a relaxed structure of TbPuU.

Symmetry = F-43m, No. 216
Energy above the lowest structure with this stoichiometry = 0.00 eV per formula unit
Energy of formation = 0.854 eV per atom
Spin magnetization = 8.86 μB/f.u.
Crystal system = cubic

a = 6.9458 Å, b = 6.9458 Å, c = 6.9458 Å
α = 90.00°, β = 90.00°, γ = 90.00°
Sites, in units of the cell vectors:
Tb (0.0000, 0.0000, 0.0000)
Tb (0.0000, 0.5000, 0.5000)
Tb (0.5000, 0.0000, 0.5000)
Tb (0.5000, 0.5000, 0.0000)
Pu (0.2500, 0.2500, 0.7500)
Pu (0.2500, 0.7500, 0.2500)
Pu (0.7500, 0.2500, 0.2500)
Pu (0.7500, 0.7500, 0.7500)
U (0.0000, 0.0000, 0.5000)
U (0.0000, 0.5000, 0.0000)
U (0.5000, 0.0000, 0.0000)
U (0.5000, 0.5000, 0.5000)

***

Repeat the second record exactly.
VASP calculation (PBE) on a relaxed structure of TbPuTh.

Symmetry = F-43m, No. 216
Energy of formation = 0.719 eV per atom
Spin magnetization = 7.08 μB/f.u.
Crystal system = cubic

a = 7.3558 Å, b = 7.3558 Å, c = 7.3558 Å
α = 90.00°, β = 90.00°, γ = 90.00°
Sites, in units of the cell vectors:
Tb (0.0000, 0.0000, 0.0000)
Tb (0.0000, 0.5000, 0.5000)
Tb (0.5000, 0.0000, 0.5000)
Tb (0.5000, 0.5000, 0.0000)
Pu (0.2500, 0.2500, 0.7500)
Pu (0.2500, 0.7500, 0.2500)
Pu (0.7500, 0.2500, 0.2500)
Pu (0.7500, 0.7500, 0.7500)
Th (0.0000, 0.0000, 0.5000)
Th (0.0000, 0.5000, 0.0000)
Th (0.5000, 0.0000, 0.0000)
Th (0.5000, 0.5000, 0.5000)

***

Which value of spin magnetization does entry 3 give?
8.86 μB/f.u.

***

Which formula does entry 1 have?
TbPuTe

***

Among the records above, which one has the lowest spin magnetization?
TbPuTh